#P
! Zr2ScTi (PBE, relaxed); values from VASP
! D(E_F): 12.55 states/eV/cell
! Calculated density: 5.141 g/cm³
&SYSTEM
  ibrav = 0, nat = 8, ntyp = 3
/
ATOMIC_SPECIES
Zr 91.22 Zr.upf
Sc 44.96 Sc.upf
Ti 47.87 Ti.upf
CELL_PARAMETERS angstrom
7.706 0.000 0.000
0.000 7.706 0.000
3.853 3.853 2.995
ATOMIC_POSITIONS crystal
Zr 0.639 0.125 0.250
Zr 0.375 0.361 0.750
Zr 0.875 0.889 0.750
Zr 0.111 0.625 0.250
Sc 0.500 0.500 0.000
Sc 0.250 0.750 0.500
Ti 0.750 0.250 0.500
Ti 0.000 0.000 0.000


#Q
! Zr2ScTi (PBE, relaxed); values from VASP
! D(E_F): 6.40 states/eV/cell
! Calculated density: 5.198 g/cm³
&SYSTEM
  ibrav = 0, nat = 4, ntyp = 3
/
ATOMIC_SPECIES
Zr 91.22 Zr.upf
Ti 47.87 Ti.upf
Sc 44.96 Sc.upf
CELL_PARAMETERS angstrom
3.162 0.000 0.000
1.581 2.739 0.000
1.581 0.913 10.154
ATOMIC_POSITIONS crystal
Zr 0.079 0.079 0.762
Zr 0.254 0.254 0.237
Ti 0.667 0.667 0.999
Sc 0.499 0.499 0.502


On energetic grounds, #Q is preferred over the next structure by 40.2 kJ/mol of atoms.